# 1
# Th2TiGaN5

Th2TiGaN5 after structural relaxation (PBE, the Alexandria database).

```
Th2TiGaN5
1.0
-1.754 -2.783 -0.639
6.596 -1.599 -2.352
2.366 -3.573 9.065
N Ti Th Ga
10 2 4 2
Direct
0.309 0.617 0.373
0.691 0.383 0.873
0.499 0.997 0.783
0.649 0.298 0.504
0.501 0.003 0.283
0.287 0.575 0.652
0.948 0.896 0.557
0.052 0.104 0.057
0.713 0.425 0.152
0.351 0.702 0.004
0.214 0.428 0.006
0.786 0.572 0.506
0.131 0.263 0.296
0.116 0.232 0.688
0.869 0.737 0.796
0.884 0.768 0.188
0.547 0.095 0.965
0.453 0.905 0.465
```

Computed properties:
The crystal system is orthorhombic. The calculation puts the calculated volume at 13.040 A^3/atom. The value obtained for the formation energy (no corrections) is -1233 meV per atom. As for the magnetic moment: 0.00 μB/f.u. Its symmetry is Cmc2_1 (36).



# 2
# Th2UGaN5

Th2UGaN5 after structural relaxation (PBE, the Alexandria database).

```
Th2UGaN5
1.0
3.470 0.000 0.000
-1.735 7.026 0.000
0.000 0.000 10.555
U N Th Ga
2 10 4 2
Direct
0.795 0.590 0.503
0.205 0.410 0.003
0.712 0.425 0.149
0.638 0.275 0.512
0.697 0.395 0.860
0.046 0.092 0.050
0.288 0.575 0.649
0.506 0.012 0.287
0.494 0.988 0.787
0.362 0.725 0.012
0.954 0.908 0.550
0.303 0.605 0.360
0.134 0.268 0.293
0.116 0.233 0.696
0.866 0.732 0.793
0.884 0.767 0.196
0.508 0.015 0.973
0.492 0.985 0.473
```

Computed properties:
The crystal system is orthorhombic. The calculation puts the calculated volume at 14.295 A^3/atom. The value obtained for the formation energy (no corrections) is -1197 meV per atom. As for the magnetic moment: 1.36 μB/f.u. Its symmetry is Cmc2_1 (36).



# 3
# YTh2GaN5

YTh2GaN5 after structural relaxation (PBE, the Alexandria database).

```
YTh2GaN5
1.0
3.489 0.000 0.000
-1.744 7.017 0.000
0.000 0.000 10.540
Th N Ga Y
4 10 2 2
Direct
0.877 0.755 0.189
0.130 0.260 0.288
0.870 0.740 0.788
0.123 0.245 0.689
0.695 0.391 0.838
0.040 0.081 0.063
0.500 0.001 0.294
0.702 0.405 0.159
0.298 0.595 0.659
0.637 0.274 0.514
0.305 0.609 0.338
0.363 0.726 0.014
0.960 0.919 0.563
0.500 0.999 0.794
0.505 0.011 0.984
0.495 0.989 0.484
0.202 0.404 0.995
0.798 0.596 0.495
```

Computed properties:
The crystal system is orthorhombic. The calculation puts the calculated volume at 14.335 A^3/atom. The value obtained for the formation energy (no corrections) is -1099 meV per atom. As for the magnetic moment: 0.19 μB/f.u. Its symmetry is Cmc2_1 (36).



# 4
# TiGa3N

TiGa3N after structural relaxation (PBE, the Alexandria database).

```
TiGa3N
1.0
-3.213 -3.622 -1.637
-0.323 -1.860 4.750
-3.962 3.090 0.940
Ti Ga N
1 3 1
Direct
0.000 0.000 0.000
0.500 0.000 0.000
0.000 0.500 0.000
0.000 0.000 0.500
0.500 0.500 0.500
```

Computed properties:
As for the excess energy over the best structure of this formula in the dataset: 486 kJ/mol of formula units. The crystal system is cubic. The calculation puts the calculated volume at 26.708 A^3/atom. The value obtained for the formation energy (no corrections) is 1474 meV per atom. As for the magnetic moment: 0.22 μB/f.u. Its symmetry is Pm-3m (221).



# 5
# TiGa2N

TiGa2N after structural relaxation (PBE, the Alexandria database).

```
TiGa2N
1.0
0.000 3.084 3.084
3.084 0.000 3.084
3.084 3.084 0.000
Ti Ga N
1 2 1
Direct
0.500 0.500 0.500
0.250 0.250 0.250
0.750 0.750 0.750
0.000 0.000 0.000
```

Computed properties:
As for the excess energy over the best structure of this formula in the dataset: 342 kJ/mol of formula units. The crystal system is cubic. The calculation puts the calculated volume at 14.669 A^3/atom. The value obtained for the formation energy (no corrections) is 895 meV per atom. As for the magnetic moment: 0.74 μB/f.u. Its symmetry is Fm-3m (225).



# 6
# TiGaN2

TiGaN2 after structural relaxation (PBE, the Alexandria database).

```
TiGaN2
1.0
0.000 2.692 2.692
2.692 0.000 2.692
2.692 2.692 0.000
Ti N Ga
1 2 1
Direct
0.000 0.000 0.000
0.250 0.250 0.250
0.750 0.750 0.750
0.500 0.500 0.500
```

Computed properties:
As for the excess energy over the best structure of this formula in the dataset: 336 kJ/mol of formula units. The crystal system is cubic. The calculation puts the calculated volume at 9.749 A^3/atom. The value obtained for the formation energy (no corrections) is 278 meV per atom. As for the magnetic moment: 0.99 μB/f.u. Its symmetry is Fm-3m (225).



# 7
# Ti7Ga2N2

Ti7Ga2N2 after structural relaxation (PBE, the Alexandria database).

```
Ti7Ga2N2
1.0
-2.963 -4.608 -0.703
4.334 -2.468 -2.093
2.226 -0.368 5.042
Ti N Ga
7 2 2
Direct
0.500 0.768 0.500
0.000 0.000 0.000
0.000 0.766 0.500
0.500 0.232 0.500
0.500 0.766 0.000
0.500 0.234 0.000
0.000 0.234 0.500
0.273 0.000 0.727
0.727 0.000 0.273
0.178 0.500 0.178
0.822 0.500 0.822
```

Computed properties:
The crystal system is orthorhombic. The calculation puts the calculated volume at 14.415 A^3/atom. The value obtained for the formation energy (no corrections) is -596 meV per atom. As for the magnetic moment: 0.00 μB/f.u. Its symmetry is Cmmm (65).



# 8
# Ti3Ga2N

Ti3Ga2N after structural relaxation (PBE, the Alexandria database).

```
Ti3Ga2N
1.0
-0.665 -1.883 2.224
-1.396 -3.122 -3.060
6.896 -0.945 1.260
Ga Ti N
2 3 1
Direct
0.500 0.690 0.380
0.500 0.310 0.620
0.500 0.901 0.802
0.000 0.500 0.000
0.500 0.099 0.198
0.000 0.000 0.000
```

Computed properties:
As for the excess energy over the best structure of this formula in the dataset: 125 kJ/mol of formula units. The crystal system is orthorhombic. The calculation puts the calculated volume at 15.298 A^3/atom. The value obtained for the formation energy (no corrections) is -698 meV per atom. As for the magnetic moment: 0.00 μB/f.u. Its symmetry is Cmmm (65).



# 9
# Ti4Ga2N

Ti4Ga2N after structural relaxation (PBE, the Alexandria database).

```
Ti4Ga2N
1.0
-2.726 2.369 -1.678
-1.700 -3.169 -1.711
-6.282 -1.185 3.805
N Ga Ti
1 2 4
Direct
0.000 0.000 0.000
0.356 0.356 0.289
0.644 0.644 0.711
0.157 0.157 0.685
0.000 0.500 0.000
0.500 0.000 0.000
0.843 0.843 0.315
```

Computed properties:
As for the excess energy over the best structure of this formula in the dataset: 29 kJ/mol of formula units. The crystal system is tetragonal. The calculation puts the calculated volume at 15.601 A^3/atom. The value obtained for the formation energy (no corrections) is -748 meV per atom. As for the magnetic moment: 0.00 μB/f.u. Its symmetry is I4/mmm (139).



# 10
# Ti8GaN4

Ti8GaN4 after structural relaxation (PBE, the Alexandria database).

```
Ti8GaN4
1.0
-0.987 2.859 -0.283
-1.464 0.382 -7.356
-7.417 -0.842 1.060
Ga Ti N
1 8 4
Direct
0.516 0.002 0.967
0.868 0.966 0.298
0.474 0.380 0.671
0.858 0.701 0.583
0.164 0.037 0.635
0.557 0.623 0.262
0.174 0.302 0.350
0.830 0.333 0.006
0.201 0.671 0.927
0.669 0.168 0.494
0.195 0.477 0.134
0.837 0.527 0.800
0.363 0.835 0.440
```

Computed properties:
The crystal system is monoclinic. The calculation puts the calculated volume at 12.691 A^3/atom. The value obtained for the formation energy (no corrections) is -1254 meV per atom. As for the magnetic moment: 0.00 μB/f.u. Its symmetry is C2/m (12).



# 11
# Ti5Ga4N

Ti5Ga4N after structural relaxation (PBE, the Alexandria database).

```
Ti5Ga4N
1.0
4.785 0.000 0.000
2.393 5.675 0.000
2.393 0.000 5.675
Ti N Ga
5 1 4
Direct
0.867 0.346 0.922
0.501 0.000 0.000
0.789 0.078 0.346
0.135 0.654 0.078
0.213 0.922 0.654
0.001 0.000 0.000
0.548 0.605 0.302
0.153 0.302 0.395
0.454 0.395 0.698
0.849 0.698 0.605
```

Computed properties:
The crystal system is tetragonal. The calculation puts the calculated volume at 15.411 A^3/atom. The value obtained for the formation energy (no corrections) is -531 meV per atom. As for the magnetic moment: 0.00 μB/f.u. Its symmetry is I4/m (87).



# 12
# Ti4GaN2

Ti4GaN2 after structural relaxation (PBE, the Alexandria database).

```
Ti4GaN2
1.0
-2.231 1.101 1.897
3.122 -3.272 2.992
6.327 8.390 2.571
Ti Ga N
8 2 4
Direct
0.500 0.000 0.500
0.500 0.000 0.000
0.242 0.485 0.898
0.758 0.515 0.102
0.913 0.825 0.750
0.087 0.175 0.250
0.758 0.515 0.398
0.242 0.485 0.602
0.390 0.780 0.250
0.610 0.220 0.750
0.134 0.267 0.060
0.134 0.267 0.440
0.866 0.733 0.940
0.866 0.733 0.560
```

Computed properties:
The crystal system is orthorhombic. The calculation puts the calculated volume at 12.553 A^3/atom. The value obtained for the formation energy (no corrections) is -1238 meV per atom. As for the magnetic moment: 0.00 μB/f.u. Its symmetry is Cmcm (63).



Question: Which of these has the highest magnetic moment?
Answer: Th2UGaN5